! ZrNiHgPd PBE relaxed; values from VASP
! size of the total moment = 0.000 μB per atom
! energy of formation = -334 meV per atom
&SYSTEM
  ibrav = 0, nat = 4, ntyp = 4
/
ATOMIC_SPECIES
Zr 91.22 Zr.upf
Ni 58.69 Ni.upf
Hg 200.59 Hg.upf
Pd 106.42 Pd.upf
CELL_PARAMETERS angstrom
0.0000 3.2458 3.2458
3.2458 0.0000 3.2458
3.2458 3.2458 0.0000
ATOMIC_POSITIONS angstrom
Zr 0.0000 0.0000 0.0000
Ni 1.6229 1.6229 1.6229
Hg 3.2458 3.2458 3.2458
Pd 4.8687 4.8687 4.8687

***

! RbSm2AgSe4 PBE relaxed; values from VASP
! size of the total moment = 0.000 μB per atom
! uncorrected formation energy = -1.482 eV/atom
&SYSTEM
  ibrav = 0, nat = 16, ntyp = 4
/
ATOMIC_SPECIES
Rb 85.47 Rb.upf
Sm 150.36 Sm.upf
Ag 107.87 Ag.upf
Se 78.96 Se.upf
CELL_PARAMETERS angstrom
2.1465 -7.2584 0.0000
2.1465 7.2584 0.0000
0.0000 0.0000 15.0132
ATOMIC_POSITIONS angstrom
Rb 2.1465 5.5429 11.2599
Rb 2.1465 -5.5429 3.7533
Sm 2.1465 1.9119 8.5013
Sm 2.1465 1.9119 14.0184
Sm 2.1465 -1.9119 0.9947
Sm 2.1465 -1.9119 6.5119
Ag 2.1465 4.9160 3.7533
Ag 2.1465 -4.9160 11.2599
Se 0.0000 0.0000 0.0000
Se 0.0000 0.0000 7.5066
Se 2.1465 3.4396 1.5520
Se 2.1465 3.4396 5.9546
Se 2.1465 0.8311 11.2599
Se 2.1465 -0.8311 3.7533
Se 2.1465 -3.4396 9.0586
Se 2.1465 -3.4396 13.4612

***

- Which formula does entry 2 have?
  RbSm2AgSe4

***

- Which value of size of the total moment does entry 1 give?
  0.000 μB per atom

***

Please write out number 1 again, unchanged.
! ZrNiHgPd PBE relaxed; values from VASP
! size of the total moment = 0.000 μB per atom
! energy of formation = -334 meV per atom
&SYSTEM
  ibrav = 0, nat = 4, ntyp = 4
/
ATOMIC_SPECIES
Zr 91.22 Zr.upf
Ni 58.69 Ni.upf
Hg 200.59 Hg.upf
Pd 106.42 Pd.upf
CELL_PARAMETERS angstrom
0.0000 3.2458 3.2458
3.2458 0.0000 3.2458
3.2458 3.2458 0.0000
ATOMIC_POSITIONS angstrom
Zr 0.0000 0.0000 0.0000
Ni 1.6229 1.6229 1.6229
Hg 3.2458 3.2458 3.2458
Pd 4.8687 4.8687 4.8687

***

What did the first record say?
! ZrNiHgPd PBE relaxed; values from VASP
! size of the total moment = 0.000 μB per atom
! energy of formation = -334 meV per atom
&SYSTEM
  ibrav = 0, nat = 4, ntyp = 4
/
ATOMIC_SPECIES
Zr 91.22 Zr.upf
Ni 58.69 Ni.upf
Hg 200.59 Hg.upf
Pd 106.42 Pd.upf
CELL_PARAMETERS angstrom
0.0000 3.2458 3.2458
3.2458 0.0000 3.2458
3.2458 3.2458 0.0000
ATOMIC_POSITIONS angstrom
Zr 0.0000 0.0000 0.0000
Ni 1.6229 1.6229 1.6229
Hg 3.2458 3.2458 3.2458
Pd 4.8687 4.8687 4.8687